NbPdSe2: relaxed, GGA-PBE.

Geometry as CIF:
```
data_NbPdSe2
_cell_length_a 8.218
_cell_length_b 6.272
_cell_length_c 8.110
_cell_angle_alpha 90.00
_cell_angle_beta 117.30
_cell_angle_gamma 90.00
_space_group_name_H-M_alt 'P 1 21/c 1'
_space_group_IT_number 14
loop_
_space_group_symop_operation_xyz
'x,y,z'
'-x,-y,-z'
'-x,y+1/2,-z+1/2'
'x,-y+1/2,z+1/2'
loop_
_atom_site_label
_atom_site_fract_x
_atom_site_fract_y
_atom_site_fract_z
Nb1 0.039 0.031 0.326
Pd1 0.136 0.638 0.556
Se1 0.202 0.222 0.648
Se2 0.313 0.711 0.901
```

Final energy = -6.139 eV per atom
Calculated density = 6.39 g cm⁻³
M_tot = 0.0 Bohr magnetons per cell
ΔE_f (raw) = -581 meV per atom